1.
First-principles (PBE) data for a relaxed La3HoZn2 crystal, as listed in Alexandria.

Cell lengths 3.7678, 3.7678, 12.3975 Å; angles 90.00, 90.00, 90.00 degrees
Positions (direct):
La (0.0000, 0.0000, 0.0000)
La (0.0000, 0.0000, 0.7019)
La (0.0000, 0.0000, 0.2981)
Ho (0.5000, 0.5000, 0.5000)
Zn (0.5000, 0.5000, 0.8471)
Zn (0.5000, 0.5000, 0.1529)

## Properties
Symmetry: P4/mmm (123)
E above lowest polymorph in meV per atom: 18
Formation energy in eV per atom: -0.19

2.
First-principles (PBE) data for a relaxed LaHo2Zn crystal, as listed in Alexandria.

Cell lengths 5.0279, 5.0279, 6.0489 Å; angles 65.44, 65.44, 60.00 degrees
Positions (direct):
Zn (0.0000, 0.0000, 0.0000)
Ho (0.2764, 0.2764, 0.1708)
Ho (0.7236, 0.7236, 0.8292)
La (0.5000, 0.5000, 0.5000)

## Properties
Symmetry: R-3m (166)
E above lowest polymorph in meV per atom: 276
Formation energy in eV per atom: 0.12

3.
First-principles (PBE) data for a relaxed La3Ho4Zn crystal, as listed in Alexandria.

Cell lengths 3.6154, 3.6154, 19.0590 Å; angles 90.00, 90.00, 90.00 degrees
Positions (direct):
Zn (0.5000, 0.5000, 0.0000)
Ho (0.0000, 0.0000, 0.9091)
Ho (0.0000, 0.0000, 0.0909)
Ho (0.0000, 0.0000, 0.3651)
Ho (0.0000, 0.0000, 0.6349)
La (0.5000, 0.5000, 0.2290)
La (0.5000, 0.5000, 0.5000)
La (0.5000, 0.5000, 0.7710)

## Properties
Symmetry: P4/mmm (123)
Formation energy in eV per atom: -0.06

4.
First-principles (PBE) data for a relaxed LaHo2Zn6 crystal, as listed in Alexandria.

Cell lengths 3.5315, 7.8528, 7.8529 Å; angles 120.00, 90.00, 90.00 degrees
Positions (direct):
La (0.0000, 0.0000, 0.0000)
Ho (0.0001, 0.3332, 0.6665)
Ho (0.9999, 0.6668, 0.3335)
Zn (0.5002, 0.3389, 0.3388)
Zn (0.4998, 0.6611, 0.6612)
Zn (0.4998, 0.0001, 0.6612)
Zn (0.5000, 0.6611, 0.0000)
Zn (0.5000, 0.3389, 0.0000)
Zn (0.5002, 0.9999, 0.3388)

## Properties
Symmetry: P6/mmm (191)
Formation energy in eV per atom: -0.36

5.
First-principles (PBE) data for a relaxed La2HoZn9 crystal, as listed in Alexandria.

Cell lengths 5.5106, 5.5106, 9.3899 Å; angles 72.94, 72.94, 60.00 degrees
Positions (direct):
La (0.8575, 0.8575, 0.4274)
La (0.1425, 0.1425, 0.5726)
Ho (0.0000, 0.0000, 0.0000)
Zn (0.6653, 0.6653, 0.0042)
Zn (0.3347, 0.3347, 0.9958)
Zn (0.5000, 0.5000, 0.5000)
Zn (0.4196, 0.4196, 0.2365)
Zn (0.9242, 0.4196, 0.2365)
Zn (0.4196, 0.9242, 0.2365)
Zn (0.5804, 0.5804, 0.7635)
Zn (0.5804, 0.0758, 0.7635)
Zn (0.0758, 0.5804, 0.7635)

## Properties
Symmetry: R-3m (166)
Formation energy in eV per atom: -0.28

6.
First-principles (PBE) data for a relaxed LaHo2Zn crystal, as listed in Alexandria.

Cell lengths 3.5867, 3.5867, 8.8256 Å; angles 90.00, 90.00, 90.00 degrees
Positions (direct):
Zn (0.5000, 0.5000, 0.0000)
Ho (0.0000, 0.0000, 0.8032)
Ho (0.0000, 0.0000, 0.1968)
La (0.5000, 0.5000, 0.5000)

## Properties
Symmetry: P4/mmm (123)
E above lowest polymorph in meV per atom: 0
Formation energy in eV per atom: -0.16

7.
First-principles (PBE) data for a relaxed LaHoZn crystal, as listed in Alexandria.

Cell lengths 3.7669, 5.0984, 5.0984 Å; angles 120.00, 90.00, 90.00 degrees
Positions (direct):
Zn (0.1690, 0.3333, 0.6667)
Ho (0.1650, 0.0000, 0.0000)
La (0.6660, 0.6667, 0.3333)

## Properties
Symmetry: P3m1 (156)
E above lowest polymorph in meV per atom: 140
Formation energy in eV per atom: -0.06

8.
First-principles (PBE) data for a relaxed La2Ho6Zn crystal, as listed in Alexandria.

Cell lengths 5.4700, 9.6901, 10.2199 Å; angles 90.00, 90.00, 90.00 degrees
Positions (direct):
La (0.0000, 0.3170, 0.7429)
La (0.5000, 0.8170, 0.7573)
La (0.5000, 0.1830, 0.2427)
La (0.0000, 0.6830, 0.2571)
Ho (0.0000, 0.0100, 0.1867)
Ho (0.0000, 0.6929, 0.5791)
Ho (0.0000, 0.6378, 0.9000)
Ho (0.5000, 0.1377, 0.6000)
Ho (0.5000, 0.1929, 0.9209)
Ho (0.5000, 0.5099, 0.3132)
Ho (0.0000, 0.9900, 0.8133)
Ho (0.0000, 0.3071, 0.4209)
Ho (0.0000, 0.3622, 0.1000)
Ho (0.5000, 0.8623, 0.4000)
Ho (0.5000, 0.8071, 0.0791)
Ho (0.5000, 0.4901, 0.6868)
Zn (0.5000, 0.5000, 0.0000)
Zn (0.0000, 0.0000, 0.5000)

## Properties
Symmetry: Pnnm (58)
Formation energy in eV per atom: 0.04